Density functional theory data (SCAN) for a crystal of SmBC relaxed with PBEsol.

extended XYZ file:
```
60
Lattice="-1.2107 1.8160 7.8809 0.2318 -8.0015 1.8794 12.0024 0.7407 1.6732" Properties=species:S:1:pos:R:3 pbc="T T T"
Sm 10.1241 -1.8717 9.0978
Sm 1.1927 -0.1979 6.6248
Sm 3.8118 -5.0038 3.8281
Sm 10.4973 -6.5024 3.4972
Sm 9.7057 -1.2324 3.9283
Sm 0.7056 -4.5932 9.1080
Sm 4.3394 -2.0093 1.6739
Sm 9.9836 -4.1772 6.1948
Sm 6.7889 0.6520 2.2670
Sm 7.0182 -0.1098 5.8904
Sm 6.8524 -3.6768 4.8326
Sm 3.8142 0.3152 4.3699
Sm 6.5981 -1.0165 9.3471
Sm 10.0994 1.1153 6.8473
Sm 1.1372 -3.6858 5.6529
Sm 7.3367 -4.4554 8.4859
Sm 4.0554 -5.4215 9.0476
Sm 0.8021 -7.2540 4.6632
Sm 4.3318 -2.4158 6.8391
Sm 1.0397 -2.9066 2.1396
C 4.3684 0.5216 1.8243
C 6.7811 -2.3286 7.0944
C 0.2144 -1.5081 4.3969
C 0.5127 -5.9633 6.9322
C 6.8485 -5.1265 2.4597
C 6.0759 1.1902 7.9080
C 10.3575 -6.6832 6.1006
C 4.5792 -2.2555 4.2294
C 7.2616 -1.4603 3.6381
C 3.6274 0.0439 6.9759
C 0.5398 -2.3993 7.8479
C 1.3722 -5.0773 3.4375
C 7.6116 -5.8185 6.2819
C 10.8791 -3.8609 3.7976
C 9.4776 -1.4855 6.5120
C 1.9009 -0.6649 0.9162
C 10.1523 0.8752 9.6171
C 3.0567 -2.9206 9.1571
C 9.7856 -4.3958 8.8157
C 4.8317 -5.1302 6.3934
B 8.2445 -5.0350 2.9728
B 9.4484 -4.0101 3.3670
B 6.1289 -5.8585 6.3879
B 1.6979 -1.4219 4.2852
B 8.2313 -2.2367 6.8518
B 3.3444 -5.0848 6.4742
B 7.5069 1.3269 8.3416
B 3.0781 -2.2873 4.2513
B 10.9615 -1.4871 6.4158
B 4.4468 -2.7416 9.6540
B 0.5096 -0.8022 0.4095
B 1.8690 -2.3196 8.4779
B 8.9015 -6.5727 6.2957
B 2.0134 -5.9191 6.9073
B 11.2293 -4.4596 8.5655
B 3.0450 0.2396 1.2417
B 0.0673 -5.2218 2.7836
B 5.8205 -1.4852 3.9091
B 4.9297 0.2772 7.6089
B 8.7601 0.6522 9.1349
```

Computed properties:
V   816.37 Å³/cell
Total energy   -21.18 eV per atom
Symmetry   P2_12_12_1
N(E_F)   0.1796 states/eV/atom